Record 1
A geometry-optimized La4Er3Se8 structure, computed with PBE-GGA.

Calculated values
- energy above the most stable polymorph in this dataset (eV per atom) = 0.178
- SG = R-3m
- E_tot (eV per atom) = -5.780
- total moment (Bohr magnetons per cell) = 0.000
- raw formation energy (meV per atom) = -1694.7

Cell: 9.129 9.129 9.129 Å, 52.99 52.99 52.99°
Atoms (fractional coordinates):
La1 0.000 0.000 0.000
La2 0.648 0.648 0.648
La3 0.500 0.500 0.500
La4 0.352 0.352 0.352
Er1 0.500 0.000 0.000
Er2 0.000 0.500 0.000
Er3 0.000 0.000 0.500
Se1 0.771 0.771 0.771
Se2 0.769 0.250 0.250
Se3 0.250 0.769 0.250
Se4 0.250 0.250 0.769
Se5 0.229 0.229 0.229
Se6 0.231 0.750 0.750
Se7 0.750 0.231 0.750
Se8 0.750 0.750 0.231

---

Record 2
A geometry-optimized La4ErSe5 structure, computed with PBE-GGA.

Calculated values
- energy above the most stable polymorph in this dataset (eV per atom) = 0.000
- SG = I4/m
- E_tot (eV per atom) = -6.099
- total moment (Bohr magnetons per cell) = 0.000
- raw formation energy (meV per atom) = -1929.5

Cell: 6.040 7.374 7.374 Å, 80.34 65.82 65.82°
Atoms (fractional coordinates):
La1 0.406 0.399 0.792
La2 0.805 0.792 0.601
La3 0.197 0.208 0.399
La4 0.596 0.601 0.208
Er1 0.001 0.000 0.000
Se1 0.902 0.385 0.813
Se2 0.287 0.813 0.615
Se3 0.715 0.187 0.385
Se4 0.100 0.615 0.187
Se5 0.501 0.000 0.000

---

Record 3
A geometry-optimized LaEr5Se6 structure, computed with PBE-GGA.

Calculated values
- SG = C2/m
- E_tot (eV per atom) = -5.795
- total moment (Bohr magnetons per cell) = 0.000
- raw formation energy (meV per atom) = -1740.8

Cell: 7.077 7.077 7.085 Å, 99.58 99.58 120.25°
Atoms (fractional coordinates):
Er1 0.841 0.159 0.500
Er2 0.667 0.333 0.000
Er3 0.500 0.500 0.500
Er4 0.333 0.667 0.000
Er5 0.159 0.841 0.500
Se1 0.434 0.086 0.260
Se2 0.914 0.566 0.740
Se3 0.263 0.263 0.748
Se4 0.737 0.737 0.252
Se5 0.086 0.434 0.260
Se6 0.566 0.914 0.740
La1 0.000 0.000 0.000

---

Record 4
A geometry-optimized LaEr3Se6 structure, computed with PBE-GGA.

Calculated values
- SG = P2_1/m
- E_tot (eV per atom) = -5.875
- total moment (Bohr magnetons per cell) = 0.000
- raw formation energy (meV per atom) = -1922.8

Cell: 4.147 11.594 11.872 Å, 109.17 90.00 90.00°
Atoms (fractional coordinates):
La1 0.750 0.049 0.696
La2 0.250 0.951 0.304
Er1 0.750 0.443 0.834
Er2 0.250 0.557 0.166
Er3 0.750 0.680 0.499
Er4 0.250 0.320 0.501
Er5 0.750 0.159 0.087
Er6 0.250 0.841 0.913
Se1 0.750 0.480 0.613
Se2 0.250 0.520 0.387
Se3 0.750 0.916 0.092
Se4 0.250 0.084 0.908
Se5 0.750 0.392 0.057
Se6 0.250 0.608 0.943
Se7 0.750 0.733 0.271
Se8 0.250 0.267 0.729
Se9 0.750 0.121 0.465
Se10 0.250 0.879 0.535
Se11 0.750 0.801 0.750
Se12 0.250 0.199 0.250

---

Record 5
A geometry-optimized LaEr4Se7 structure, computed with PBE-GGA.

Calculated values
- SG = Cm
- E_tot (eV per atom) = -5.813
- total moment (Bohr magnetons per cell) = 0.000
- raw formation energy (meV per atom) = -1848.6

Cell: 7.035 7.035 12.268 Å, 76.34 76.34 32.80°
Atoms (fractional coordinates):
La1 0.887 0.887 0.420
Er1 0.114 0.114 0.584
Er2 0.001 0.001 0.996
Er3 0.701 0.701 0.182
Er4 0.299 0.299 0.816
Se1 0.046 0.046 0.206
Se2 0.957 0.957 0.785
Se3 0.343 0.343 0.048
Se4 0.660 0.660 0.950
Se5 0.738 0.738 0.656
Se6 0.247 0.247 0.349
Se7 0.505 0.505 0.508

---

Record 6
A geometry-optimized LaErSe2 structure, computed with PBE-GGA.

Calculated values
- energy above the most stable polymorph in this dataset (eV per atom) = 0.000
- SG = R-3m
- E_tot (eV per atom) = -5.979
- total moment (Bohr magnetons per cell) = 0.000
- raw formation energy (meV per atom) = -1864.0

Cell: 7.404 7.404 7.404 Å, 32.25 32.25 32.25°
Atoms (fractional coordinates):
La1 0.500 0.500 0.500
Se1 0.258 0.258 0.258
Se2 0.742 0.742 0.742
Er1 0.000 0.000 0.000

---

Record 7
A geometry-optimized LaErSe2 structure, computed with PBE-GGA.

Calculated values
- energy above the most stable polymorph in this dataset (eV per atom) = 0.039
- SG = R3m
- E_tot (eV per atom) = -5.940
- total moment (Bohr magnetons per cell) = 0.000
- raw formation energy (meV per atom) = -1825.3

Cell: 4.074 4.074 7.627 Å, 74.51 74.51 60.00°
Atoms (fractional coordinates):
La1 0.495 0.495 0.514
Er1 0.671 0.671 0.986
Se1 0.075 0.075 0.774
Se2 0.258 0.258 0.226

---

Record 8
A geometry-optimized LaSmErSe3 structure, computed with PBE-GGA.

Calculated values
- SG = P2_1/m
- E_tot (eV per atom) = -5.915
- total moment (Bohr magnetons per cell) = 0.000
- raw formation energy (meV per atom) = -1804.2

Cell: 4.085 7.251 10.828 Å, 102.94 90.00 90.00°
Atoms (fractional coordinates):
La1 0.250 0.340 0.306
La2 0.750 0.660 0.694
Sm1 0.250 0.763 0.057
Sm2 0.750 0.237 0.943
Er1 0.250 0.122 0.631
Er2 0.750 0.878 0.369
Se1 0.750 0.052 0.159
Se2 0.250 0.948 0.841
Se3 0.250 0.729 0.497
Se4 0.750 0.271 0.503
Se5 0.750 0.550 0.169
Se6 0.250 0.450 0.831

---

Record 9
A geometry-optimized LaSm2Er3Se6 structure, computed with PBE-GGA.

Calculated values
- SG = C2/m
- E_tot (eV per atom) = -5.873
- total moment (Bohr magnetons per cell) = 0.000
- raw formation energy (meV per atom) = -1792.4

Cell: 7.089 7.089 7.273 Å, 99.34 99.34 120.25°
Atoms (fractional coordinates):
La1 0.000 0.000 0.000
Sm1 0.333 0.667 0.000
Sm2 0.667 0.333 0.000
Er1 0.165 0.835 0.500
Er2 0.835 0.165 0.500
Er3 0.500 0.500 0.500
Se1 0.911 0.573 0.733
Se2 0.750 0.750 0.265
Se3 0.089 0.427 0.267
Se4 0.573 0.911 0.733
Se5 0.250 0.250 0.735
Se6 0.427 0.089 0.267

---

Record 10
A geometry-optimized La2SmErSe5 structure, computed with PBE-GGA.

Calculated values
- SG = P4/mmm
- E_tot (eV per atom) = -5.514
- total moment (Bohr magnetons per cell) = 0.606
- raw formation energy (meV per atom) = -1452.1

Cell: 5.094 5.094 10.878 Å, 90.00 90.00 90.00°
Last column: magnetic moment on the atom in μB.
Atoms (fractional coordinates):
La1 0.500 0.500 0.307  0.16
La2 0.500 0.500 0.693  0.16
Sm1 0.000 0.000 0.000  0.01
Er1 0.000 0.000 0.500  0.01
Se1 0.000 0.500 0.500  0.00
Se2 0.500 0.000 0.500  0.00
Se3 0.000 0.000 0.751  0.00
Se4 0.000 0.000 0.249  0.00
Se5 0.500 0.500 0.000  0.00

---

Record 11
A geometry-optimized La2SmEr3Se6 structure, computed with PBE-GGA.

Calculated values
- SG = C2/m
- E_tot (eV per atom) = -5.921
- total moment (Bohr magnetons per cell) = 0.000
- raw formation energy (meV per atom) = -1823.2

Cell: 4.091 8.438 9.345 Å, 104.90 102.64 90.00°
Atoms (fractional coordinates):
La1 0.834 0.668 0.668
La2 0.166 0.332 0.332
Sm1 0.500 0.000 0.000
Er1 0.500 0.500 0.000
Er2 0.832 0.167 0.665
Er3 0.168 0.833 0.335
Se1 0.331 0.932 0.662
Se2 0.662 0.595 0.324
Se3 0.669 0.068 0.338
Se4 0.994 0.256 0.988
Se5 0.006 0.744 0.012
Se6 0.338 0.405 0.676

---

Record 12
A geometry-optimized SrLa2ErSe4 structure, computed with PBE-GGA.

Calculated values
- SG = P2/m
- E_tot (eV per atom) = -5.653
- total moment (Bohr magnetons per cell) = 0.000
- raw formation energy (meV per atom) = -1898.6

Cell: 4.236 7.378 7.436 Å, 108.99 90.00 90.00°
Atoms (fractional coordinates):
Sr1 0.500 0.500 0.000
La1 0.500 0.000 0.500
La2 0.000 0.500 0.500
Er1 0.000 0.000 0.000
Se1 0.500 0.234 0.234
Se2 0.500 0.766 0.766
Se3 0.000 0.241 0.758
Se4 0.000 0.759 0.242

---

Question: Among the records above, which one has the lowest raw formation energy?
Answer: La4ErSe5